{
  "formula": "BaNi2IrOs",
  "functional": "PBE",
  "state": "relaxed",
  "lattice": [[-3.9375, -1.0444, -2.2374], [2.7157, -2.0536, -3.8206], [-0.1181, -4.1269, 2.1343]],
  "species": ["Ni", "Ni", "Ir", "Os", "Ba"],
  "frac_coords": [[0.0000, 0.0000, 0.5000], [0.5000, 0.0000, 0.0000], [0.0000, 0.5000, 0.0000], [0.5000, 0.5000, 0.5000], [0.0000, 0.0000, 0.0000]],
  "formation_energy_ev_per_atom": 2.804,
  "spacegroup": "P4/mmm"
}

{
  "formula": "Rb2BaNiIr",
  "functional": "PBE",
  "state": "relaxed",
  "lattice": [[-2.2340, 4.8031, 2.9480], [-3.8384, -2.5050, 1.1726], [2.7514, -1.8380, 5.0796]],
  "species": ["Ni", "Ir", "Ba", "Rb", "Rb"],
  "frac_coords": [[0.0000, 0.0000, 0.0000], [0.0000, 0.5000, 0.0000], [0.5000, 0.5000, 0.5000], [0.0000, 0.0000, 0.5000], [0.5000, 0.0000, 0.0000]],
  "formation_energy_ev_per_atom": 0.746,
  "spacegroup": "P4/mmm"
}

{
  "formula": "BaNi2Ir3S8",
  "functional": "PBE",
  "state": "relaxed",
  "lattice": [[-1.4405, 7.2073, 0.0385], [-2.5440, 3.2716, -6.0701], [-6.7261, 2.4051, -0.3346]],
  "species": ["Ba", "Ni", "Ni", "Ir", "Ir", "Ir", "S", "S", "S", "S", "S", "S", "S", "S"],
  "frac_coords": [[0.9590, 0.9590, 0.1229], [0.1303, 0.1303, 0.6092], [0.4885, 0.4885, 0.5345], [0.4960, 0.9843, 0.0238], [0.9843, 0.4960, 0.0238], [0.4960, 0.4960, 0.0238], [0.2587, 0.2587, 0.2240], [0.7297, 0.7297, 0.8108], [0.2599, 0.2599, 0.7762], [0.7040, 0.2599, 0.7762], [0.2599, 0.7040, 0.7762], [0.7026, 0.3212, 0.2736], [0.3212, 0.7026, 0.2736], [0.7026, 0.7026, 0.2736]],
  "spacegroup": "R3m",
  "e_form_raw_ev_per_atom": -0.420
}

{
  "formula": "BaNi4Ir3S12",
  "functional": "PBE",
  "state": "relaxed",
  "lattice": [[-1.0549, -6.2832, -5.0125], [4.4403, 5.7911, -3.5304], [3.3984, -2.4007, 6.9573]],
  "species": ["Ba", "Ni", "Ni", "Ni", "Ni", "Ir", "Ir", "Ir", "S", "S", "S", "S", "S", "S", "S", "S", "S", "S", "S", "S"],
  "frac_coords": [[0.0000, 0.0000, 0.0000], [0.9421, 0.0579, 0.5000], [0.0579, 0.5000, 0.9421], [0.5000, 0.9421, 0.0579], [0.5000, 0.5000, 0.5000], [0.5523, 0.4477, 0.0000], [0.4477, 0.0000, 0.5523], [0.0000, 0.5523, 0.4477], [0.5000, 0.3425, 0.6575], [0.8907, 0.5000, 0.1093], [0.1093, 0.8907, 0.5000], [0.5000, 0.1093, 0.8907], [0.3171, 0.8688, 0.2051], [0.2051, 0.3171, 0.8688], [0.8688, 0.2051, 0.3171], [0.6829, 0.7949, 0.1312], [0.1312, 0.6829, 0.7949], [0.7949, 0.1312, 0.6829], [0.6575, 0.5000, 0.3425], [0.3425, 0.6575, 0.5000]],
  "spacegroup": "R32",
  "e_form_raw_ev_per_atom": -0.314
}

{
  "formula": "BaNi2SbIr",
  "functional": "PBE",
  "state": "relaxed",
  "lattice": [[4.8146, 0.0000, 0.0000], [0.0000, 5.0732, 0.0000], [0.0000, 0.0000, 4.8146]],
  "species": ["Sb", "Ir", "Ba", "Ni", "Ni"],
  "frac_coords": [[0.0000, 0.0000, 0.0000], [0.0000, 0.5000, 0.0000], [0.5000, 0.5000, 0.5000], [0.0000, 0.0000, 0.5000], [0.5000, 0.0000, 0.0000]],
  "spacegroup": "P4/mmm",
  "e_form_raw_ev_per_atom": 0.335
}

{
  "formula": "BaSr2NiIr",
  "functional": "PBE",
  "state": "relaxed",
  "lattice": [[-5.4120, 0.3262, 0.3967], [-0.3442, -5.6036, -0.0880], [0.3908, -0.1092, 5.4212]],
  "species": ["Sr", "Sr", "Ir", "Ba", "Ni"],
  "frac_coords": [[0.0000, 0.0000, 0.5000], [0.5000, 0.0000, 0.0000], [0.5000, 0.5000, 0.5000], [0.0000, 0.5000, 0.0000], [0.0000, 0.0000, 0.0000]],
  "formation_energy_ev_per_atom": 0.500,
  "spacegroup": "P4/mmm"
}

{
  "formula": "BaSrNiIr",
  "functional": "PBE",
  "state": "relaxed",
  "lattice": [[4.2715, -0.0144, -0.0014], [-2.1233, 3.7064, 0.0014], [-2.1182, -1.2384, 8.3388]],
  "species": ["Ba", "Sr", "Ni", "Ir"],
  "frac_coords": [[0.3375, 0.0344, 0.3719], [0.0151, 0.8713, 0.8864], [0.5022, 0.6156, 0.1178], [0.8372, 0.2832, 0.1204]],
  "formation_energy_ev_per_atom": -0.181,
  "spacegroup": "Cm"
}

{
  "formula": "BaNi2Te8Ir",
  "functional": "PBE",
  "state": "relaxed",
  "lattice": [[6.4973, 0.0000, 0.0000], [-3.2487, 5.6268, 0.0000], [0.0000, 0.0000, 9.2189]],
  "species": ["Ba", "Ni", "Ni", "Te", "Te", "Te", "Te", "Te", "Te", "Te", "Te", "Ir"],
  "frac_coords": [[0.0000, 0.0000, 0.0000], [0.6667, 0.3333, 0.2362], [0.3333, 0.6667, 0.7638], [0.3333, 0.6667, 0.0263], [0.3480, 0.3671, 0.3537], [0.6329, 0.9810, 0.3537], [0.6667, 0.3333, 0.9737], [0.3671, 0.0190, 0.6463], [0.6520, 0.6329, 0.6463], [0.9810, 0.3480, 0.6463], [0.0190, 0.6520, 0.3537], [0.0000, 0.0000, 0.5000]],
  "spacegroup": "P-3",
  "e_form_raw_ev_per_atom": -0.257
}

{
  "formula": "Ba2Zn6NiIr",
  "functional": "PBE",
  "state": "relaxed",
  "lattice": [[6.8330, 0.0030, -0.0981], [0.0002, 6.7706, 0.0070], [3.3454, 3.3906, 4.7804]],
  "species": ["Ba", "Ba", "Zn", "Zn", "Zn", "Zn", "Zn", "Zn", "Ni", "Ir"],
  "frac_coords": [[0.8499, 0.2856, 0.4285], [0.1501, 0.7144, 0.5715], [0.3004, 0.2435, 0.5133], [0.6959, 0.7605, 0.0562], [0.3041, 0.8167, 0.9446], [0.6959, 0.1833, 0.0554], [0.3041, 0.2395, 0.9438], [0.6996, 0.7565, 0.4867], [0.0000, 0.0000, 0.0000], [0.5000, 0.5000, 0.0000]],
  "formation_energy_ev_per_atom": -0.279,
  "spacegroup": "P-1"
}

{
  "formula": "BaNpIr2",
  "functional": "PBE",
  "state": "relaxed",
  "lattice": [[-4.2439, -0.9489, -1.2303], [-1.1577, -4.2446, -1.0332], [-3.2569, -2.7476, 5.0530]],
  "species": ["Np", "Ir", "Ir", "Ba"],
  "frac_coords": [[0.0000, 0.0000, 0.0000], [0.2976, 0.2976, 0.1071], [0.7024, 0.7024, 0.8929], [0.5000, 0.5000, 0.5000]],
  "formation_energy_ev_per_atom": -0.222,
  "spacegroup": "R-3m"
}

{
  "formula": "BaNpIr4",
  "functional": "PBE",
  "state": "relaxed",
  "lattice": [[5.4649, 0.0000, 0.0000], [2.7325, 4.7328, 0.0000], [2.7325, 1.5776, 4.4621]],
  "species": ["Np", "Ir", "Ir", "Ir", "Ir", "Ba"],
  "frac_coords": [[0.0000, 0.0000, 0.0000], [0.6256, 0.6256, 0.1232], [0.6256, 0.1232, 0.6256], [0.6256, 0.6256, 0.6256], [0.1232, 0.6256, 0.6256], [0.2500, 0.2500, 0.2500]],
  "formation_energy_ev_per_atom": -0.136,
  "spacegroup": "F-43m"
}

{
  "formula": "Ba2Np3IrO12",
  "functional": "PBE",
  "state": "relaxed",
  "lattice": [[-0.7874, 7.1052, 2.2066], [-5.7682, 3.7322, -2.9619], [-5.7248, 1.3844, 4.6134]],
  "species": ["Ba", "Ba", "Np", "Np", "Np", "Ir", "O", "O", "O", "O", "O", "O", "O", "O", "O", "O", "O", "O"],
  "frac_coords": [[0.6701, 0.6701, 0.6701], [0.3299, 0.3299, 0.3299], [0.5000, 0.0000, 0.0000], [0.0000, 0.5000, 0.0000], [0.0000, 0.0000, 0.5000], [0.0000, 0.0000, 0.0000], [0.3271, 0.3271, 0.9593], [0.9331, 0.9331, 0.3092], [0.3092, 0.9331, 0.9331], [0.9593, 0.3271, 0.3271], [0.9331, 0.3092, 0.9331], [0.3271, 0.9593, 0.3271], [0.6729, 0.6729, 0.0407], [0.0669, 0.0669, 0.6908], [0.6908, 0.0669, 0.0669], [0.0407, 0.6729, 0.6729], [0.0669, 0.6908, 0.0669], [0.6729, 0.0407, 0.6729]],
  "spacegroup": "R-3m",
  "e_form_raw_ev_per_atom": -2.514
}